! SrSbPbI2 (PBEsol, optimized geometry); values from VASP
! **ΔE_f (raw)**: -152 kJ/mol of formula units
! **Magnetic moment**: 0.00 μB per cell
&SYSTEM
  ibrav = 0, nat = 5, ntyp = 4
/
ATOMIC_SPECIES
Sr 87.62 Sr.upf
I 126.90 I.upf
Pb 207.20 Pb.upf
Sb 121.76 Sb.upf
CELL_PARAMETERS angstrom
5.872 0.000 0.000
0.000 5.988 0.000
0.000 0.000 5.988
ATOMIC_POSITIONS crystal
Sr 0.500 0.500 0.500
I 0.000 0.000 0.500
Pb 0.000 0.000 0.000
I 0.000 0.500 0.000
Sb 0.500 0.000 0.000


! ZnSbPbI2 (PBEsol, optimized geometry); values from VASP
! **ΔE_f (raw)**: 227 kJ/mol of formula units
! **Magnetic moment**: 1.82 μB per cell
&SYSTEM
  ibrav = 0, nat = 5, ntyp = 4
/
ATOMIC_SPECIES
I 126.90 I.upf
Zn 65.41 Zn.upf
Pb 207.20 Pb.upf
Sb 121.76 Sb.upf
CELL_PARAMETERS angstrom
5.971 0.000 0.000
0.000 6.094 0.000
0.000 0.000 6.094
ATOMIC_POSITIONS crystal
I 0.000 0.500 0.000
Zn 0.500 0.500 0.500
Pb 0.000 0.000 0.000
Sb 0.500 0.000 0.000
I 0.000 0.000 0.500


! ScTcPb2I (PBEsol, optimized geometry); values from VASP
! **ΔE_f (raw)**: 25 kJ/mol of formula units
! **Magnetic moment**: 0.00 μB per cell
&SYSTEM
  ibrav = 0, nat = 5, ntyp = 4
/
ATOMIC_SPECIES
I 126.90 I.upf
Pb 207.20 Pb.upf
Tc 98.00 Tc.upf
Sc 44.96 Sc.upf
CELL_PARAMETERS angstrom
4.994 0.000 0.000
0.000 5.289 0.000
0.000 0.000 5.289
ATOMIC_POSITIONS crystal
I 0.500 0.500 0.500
Pb 0.000 0.500 0.000
Pb 0.000 0.000 0.500
Tc 0.000 0.000 0.000
Sc 0.500 0.000 0.000


Which formula does entry 3 have? ScTcPb2I